1.
DFT (SCAN) results for BaSiIr2 at its PBEsol-relaxed geometry.

abc: 6.191 6.191 6.191
angles: 40.37 40.37 40.37
Fractional coordinates of all 4 atoms:
Ba  0.000  0.000  0.000
Si  0.803  0.803  0.803
Ir  0.192  0.192  0.192
Ir  0.505  0.505  0.505

Its total magnetization is 0.00 μB/f.u. The formation energy without anion corrections comes out at -0.448 eV per atom. Its mass density is 10.2 g/cm3.

***

2.
DFT (SCAN) results for BaSi2Ir2 at its PBEsol-relaxed geometry.

abc: 7.906 6.665 7.711
angles: 90.00 92.07 90.00
Fractional coordinates of all 20 atoms:
Ba  0.234  0.119  0.498
Ba  0.234  0.381  0.998
Ba  0.766  0.619  0.002
Ba  0.766  0.881  0.502
Si  0.072  0.581  0.370
Si  0.072  0.919  0.870
Si  0.438  0.648  0.689
Si  0.438  0.852  0.189
Si  0.562  0.148  0.811
Si  0.562  0.352  0.311
Si  0.928  0.081  0.130
Si  0.928  0.419  0.630
Ir  0.139  0.667  0.670
Ir  0.139  0.833  0.170
Ir  0.377  0.605  0.388
Ir  0.377  0.895  0.888
Ir  0.623  0.105  0.112
Ir  0.623  0.395  0.612
Ir  0.861  0.167  0.830
Ir  0.861  0.333  0.330

Its total magnetization is 0.00 μB/f.u. The formation energy without anion corrections comes out at -0.956 eV per atom. Its mass density is 9.5 g/cm3.

***

3.
DFT (SCAN) results for BaSiIr2 at its PBEsol-relaxed geometry.

abc: 5.890 5.890 5.890
angles: 151.37 126.28 62.00
Fractional coordinates of all 4 atoms:
Ba  0.000  0.000  0.000
Si  0.714  0.214  0.500
Ir  0.299  0.799  0.500
Ir  0.524  0.524  0.000

Its total magnetization is 0.00 μB/f.u. The formation energy without anion corrections comes out at 0.422 eV per atom. Its mass density is 11.7 g/cm3.

***

4.
DFT (SCAN) results for Ba2SiTcIr at its PBEsol-relaxed geometry.

abc: 5.992 5.992 4.523
angles: 90.00 90.00 90.00
Fractional coordinates of all 5 atoms:
Ba  0.000  0.500  0.000
Ba  0.500  0.000  0.000
Si  0.000  0.000  0.500
Tc  0.500  0.500  0.500
Ir  0.000  0.000  0.000

Its total magnetization is 3.52 μB/f.u. The formation energy without anion corrections comes out at 0.514 eV per atom. Its mass density is 6.1 g/cm3.

***

5.
DFT (SCAN) results for BaSn3Ir at its PBEsol-relaxed geometry.

abc: 5.219 5.219 5.219
angles: 90.00 90.00 90.00
Fractional coordinates of all 5 atoms:
Ba  0.000  0.000  0.000
Sn  0.000  0.500  0.500
Sn  0.500  0.000  0.500
Sn  0.500  0.500  0.000
Ir  0.500  0.500  0.500

Its calculated formation energy is -0.129 eV/atom. Its total magnetization is 0.00 μB/f.u. Its mass density is 8.0 g/cm3.

***

6.
DFT (SCAN) results for BaSnIr2W at its PBEsol-relaxed geometry.

abc: 5.033 5.033 5.132
angles: 90.00 90.00 90.00
Fractional coordinates of all 5 atoms:
Ba  0.000  0.000  0.000
Sn  0.500  0.500  0.500
Ir  0.000  0.500  0.000
Ir  0.500  0.000  0.000
W  0.000  0.000  0.500

Its calculated formation energy is 3.210 eV/atom. Its total magnetization is 3.70 μB/f.u. Its mass density is 10.5 g/cm3.

***

7.
DFT (SCAN) results for BaSr2Ir at its PBEsol-relaxed geometry.

abc: 3.745 3.745 10.658
angles: 90.00 90.00 90.00
Fractional coordinates of all 4 atoms:
Ba  0.000  0.000  0.000
Sr  0.000  0.000  0.680
Sr  0.500  0.500  0.352
Ir  0.500  0.500  0.834

The calculation puts the relative energy among the computed polymorphs at 153 meV/atom. Its calculated formation energy is 0.023 eV/atom. Its total magnetization is 0.32 μB/f.u. Its mass density is 5.6 g/cm3.

***

8.
DFT (SCAN) results for BaSrIr4 at its PBEsol-relaxed geometry.

abc: 5.468 5.468 5.468
angles: 60.00 60.00 60.00
Fractional coordinates of all 6 atoms:
Ba  0.000  0.000  0.000
Sr  0.750  0.750  0.750
Ir  0.375  0.375  0.375
Ir  0.375  0.375  0.874
Ir  0.375  0.874  0.375
Ir  0.874  0.375  0.375

Its calculated formation energy is -0.170 eV/atom. Its total magnetization is 0.00 μB/f.u. Its mass density is 14.3 g/cm3.

***

What is the formula in the second record?
BaSi2Ir2

***

Which value of mass density does entry 7 give?
5.6 g/cm3

***

What did the seventh record say?
DFT (SCAN) results for BaSr2Ir at its PBEsol-relaxed geometry.

abc: 3.745 3.745 10.658
angles: 90.00 90.00 90.00
Fractional coordinates of all 4 atoms:
Ba  0.000  0.000  0.000
Sr  0.000  0.000  0.680
Sr  0.500  0.500  0.352
Ir  0.500  0.500  0.834

The calculation puts the relative energy among the computed polymorphs at 153 meV/atom. Its calculated formation energy is 0.023 eV/atom. Its total magnetization is 0.32 μB/f.u. Its mass density is 5.6 g/cm3.

***

What is the mass density in the fourth record?
6.1 g/cm3